# 1
Crystalline FeMoRh4 at its relaxed geometry. Source: Alexandria via LeMat-Bulk, functional PBE-GGA.

CIF file:
```
data_FeMoRh4
_cell_length_a 9.094
_cell_length_b 2.724
_cell_length_c 7.531
_cell_angle_alpha 90.00
_cell_angle_beta 114.59
_cell_angle_gamma 90.00
_symmetry_space_group_name_H-M 'C 1 2/m 1'
_symmetry_Int_Tables_number 12
loop_
_symmetry_equiv_pos_as_xyz
'x,y,z'
'-x,-y,-z'
'-x,y,-z'
'x,-y,z'
'x+1/2,y+1/2,z'
'-x+1/2,-y+1/2,-z'
'-x+1/2,y+1/2,-z'
'x+1/2,-y+1/2,z'
loop_
_atom_site_label
_atom_site_type_symbol
_atom_site_fract_x
_atom_site_fract_y
_atom_site_fract_z
Fe1 Fe 0.000 0.000 0.000
Mo1 Mo 0.000 0.000 0.500
Rh1 Rh 0.160 0.500 0.836
Rh2 Rh 0.168 0.500 0.330
```

## Properties
offset from the most stable computed form	0	meV/atom
DFT formation energy	-0.073	eV per atom
calculated volume	170	Å³ per cell
total magnetic moment	2.5	μB/f.u.

---

# 2
Crystalline FeMoRh3 at its relaxed geometry. Source: Alexandria via LeMat-Bulk, functional PBE-GGA.

CIF file:
```
data_FeMoRh3
_cell_length_a 4.404
_cell_length_b 12.213
_cell_length_c 5.380
_cell_angle_alpha 90.00
_cell_angle_beta 90.00
_cell_angle_gamma 90.00
_symmetry_space_group_name_H-M 'C m c m'
_symmetry_Int_Tables_number 63
_symmetry_space_group_name_Hall '-C 2c 2'
loop_
_atom_site_label
_atom_site_type_symbol
_atom_site_fract_x
_atom_site_fract_y
_atom_site_fract_z
Fe1 Fe 0.000 0.192 0.250
Mo1 Mo 0.000 0.000 0.000
Rh1 Rh 0.000 0.194 0.750
Rh2 Rh 0.000 0.386 0.503
```

## Properties
offset from the most stable computed form	0	meV/atom
DFT formation energy	0.072	eV per atom
calculated volume	289	Å³ per cell
total magnetic moment	3.1	μB/f.u.

---

# 3
Crystalline FeMo2Rh9 at its relaxed geometry. Source: Alexandria via LeMat-Bulk, functional PBE-GGA.

CIF file:
```
data_FeMo2Rh9
_cell_length_a 3.848
_cell_length_b 3.848
_cell_length_c 11.547
_cell_angle_alpha 90.00
_cell_angle_beta 90.00
_cell_angle_gamma 90.00
_symmetry_space_group_name_H-M 'P 4/m m m'
_symmetry_Int_Tables_number 123
_symmetry_space_group_name_Hall '-P 4 2'
loop_
_atom_site_label
_atom_site_type_symbol
_atom_site_fract_x
_atom_site_fract_y
_atom_site_fract_z
Fe1 Fe 0.000 0.000 0.000
Mo1 Mo 0.000 0.000 0.328
Rh1 Rh 0.000 0.500 0.167
Rh2 Rh 0.000 0.500 0.500
Rh3 Rh 0.500 0.500 0.000
Rh4 Rh 0.500 0.500 0.334
```

## Properties
DFT formation energy	-0.174	eV per atom
calculated volume	171	Å³ per cell
total magnetic moment	3.8	μB/f.u.

---

# 4
Crystalline FeMo2Rh at its relaxed geometry. Source: Alexandria via LeMat-Bulk, functional PBE-GGA.

CIF file:
```
data_FeMo2Rh
_cell_length_a 3.818
_cell_length_b 3.818
_cell_length_c 7.759
_cell_angle_alpha 90.00
_cell_angle_beta 90.00
_cell_angle_gamma 90.00
_symmetry_space_group_name_H-M 'I 4/m m m'
_symmetry_Int_Tables_number 139
_symmetry_space_group_name_Hall '-I 4 2'
loop_
_atom_site_label
_atom_site_type_symbol
_atom_site_fract_x
_atom_site_fract_y
_atom_site_fract_z
Fe1 Fe 0.000 0.000 0.000
Mo1 Mo 0.000 0.500 0.250
Rh1 Rh 0.000 0.000 0.500
```

## Properties
offset from the most stable computed form	0	meV/atom
DFT formation energy	0.001	eV per atom
calculated volume	113	Å³ per cell
total magnetic moment	0.9	μB/f.u.